This record from the Alexandria database describes a geometry-optimized TlSnPb2Br8 structure. The functional is PBE.

The space group is P2/m (No. 10) and the conventional cell measures 6.903, 9.218 and 7.228 Å, with angles of 90.00, 90.85 and 90.00 degrees. The distinct sites, in fractional coordinates, are Tl at (0.000, 0.000, 0.000), Sn at (0.000, 0.500, 0.000), Pb at (0.500, 0.251, 0.500), Br at (0.237, 0.286, 0.161), Br at (0.242, 0.500, 0.682) and Br at (0.270, 0.000, 0.635).

The raw formation energy comes out at -0.784 eV per atom. The density of states at the Fermi level comes out at 0.33 states/eV/atom. The calculated volume comes out at 460 Å³/cell. The calculation puts the total magnetic moment at 0.00 μB per formula unit. For the calculated total energy, the calculation gives -3.048 eV/atom.

=====

This record from the Alexandria database describes a geometry-optimized NdCdPd2 structure. The functional is PBE.

The space group is Pmmn (No. 59, origin choice 2) and the conventional cell measures 4.981, 6.307 and 5.256 Å, with angles of 90.00, 90.00 and 90.00 degrees. The distinct sites, in fractional coordinates, are Nd at (0.250, 0.250, 0.187), Cd at (0.250, 0.750, 0.238) and Pd at (0.250, 0.008, 0.688).

The density of states at the Fermi level comes out at 0.36 states/eV/atom. The calculated volume comes out at 165 Å³/cell. Its energy relative to the elements is -2.54 eV per formula unit. The calculation puts the total magnetic moment at 0.00 μB per formula unit. For the calculated total energy, the calculation gives -4.653 eV/atom.

=====

This record from the Alexandria database describes a geometry-optimized TcSe2I structure. The functional is PBE.

The space group is C2/c (No. 15) and the conventional cell measures 10.491, 12.504 and 13.519 Å, with angles of 90.00, 109.51 and 90.00 degrees. The distinct sites, in fractional coordinates, are Tc at (0.046, 0.069, 0.361), Tc at (0.227, 0.232, 0.759), Se at (0.000, 0.108, 0.750), Se at (0.000, 0.239, 0.250), Se at (0.114, 0.189, 0.077), Se at (0.204, 0.076, 0.254), Se at (0.236, 0.091, 0.904), I at (0.016, 0.344, 0.618) and I at (0.231, 0.117, 0.567).

The raw formation energy comes out at 0.152 eV per atom. The density of states at the Fermi level comes out at 0.60 states/eV/atom. The calculated volume comes out at 1672 Å³/cell. The calculation puts the total magnetic moment at 0.43 μB per formula unit. For the calculated total energy, the calculation gives -4.570 eV/atom.

=====

This record from the Alexandria database describes a geometry-optimized ErFe3Ge3 structure. The functional is PBE.

The space group is Pm-3n (No. 223) and the conventional cell measures 6.453, 6.453 and 6.453 Å, with angles of 90.00, 90.00 and 90.00 degrees. The distinct sites, in fractional coordinates, are Er at (0.000, 0.000, 0.000), Fe at (0.000, 0.250, 0.500) and Ge at (0.000, 0.500, 0.250).

The density of states at the Fermi level comes out at 0.99 states/eV/atom. The calculated volume comes out at 269 Å³/cell. Its energy relative to the elements is 1.95 eV per formula unit. The calculation puts the total magnetic moment at 5.06 μB per formula unit. For the calculated total energy, the calculation gives -5.979 eV/atom.